Tl2BCl: optimized geometry, GGA-PBE.

abc: 6.1543 6.1543 11.6658
angles: 90.00 90.00 90.00
Last column: nearest neighbours and their distance in Å.
Space group I-42d (No. 122)
Inequivalent atoms, fractional coordinates:
Tl: 0.1280 0.2500 0.1250  2 B 2.26
B: 0.0000 0.0000 0.0000  4 Tl 2.26
Cl: 0.0000 0.0000 0.5000  4 Tl 3.12

Summary:
raw formation energy: 0.161 eV per atom
total magnetic moment: 0.000 μB per atom

***

PtI2N: optimized geometry, GGA-PBE.

abc: 5.5032 5.5032 12.9336
angles: 90.00 90.00 90.00
Last column: nearest neighbours and their distance in Å.
Space group I-42d (No. 122)
Inequivalent atoms, fractional coordinates:
Pt: 0.0000 0.0000 0.0000  4 I 2.67
I: 0.2058 0.2500 0.6250  2 N 2.41, 2 Pt 2.67
N: 0.0000 0.0000 0.5000  4 I 2.41

Summary:
raw formation energy: 1.205 eV per atom
total magnetic moment: 0.000 μB per atom

***

no.,total DFT energy (no corrections) (Ha/atom)
1,-0.1159
2,-0.1162